Entry 1:
Density functional theory data (PBE) for a geometry-optimized InOs2Pb structure.

Cell: 9.106 9.106 9.106 Å, 19.50 19.50 19.50°
Positions (direct):
In 0.000 0.000 0.000
Os 0.252 0.252 0.252
Os 0.748 0.748 0.748
Pb 0.500 0.500 0.500

Values from the calculation:
DFT formation energy ... 0.96 eV/atom
Relative energy among the computed polymorphs ... 0.4634 eV/atom

Entry 2:
Density functional theory data (PBE) for a geometry-optimized Ti2ReC structure.

Cell: 7.055 7.055 7.055 Å, 24.30 24.30 24.30°
Positions (direct):
Ti 0.227 0.227 0.227
Ti 0.773 0.773 0.773
Re 0.000 0.000 0.000
C 0.500 0.500 0.500

Values from the calculation:
DFT formation energy ... -0.43 eV/atom

Entry 3:
Density functional theory data (PBE) for a geometry-optimized NdCuPt2 structure.

Cell: 8.970 8.970 8.970 Å, 35.81 35.81 35.81°
Positions (direct):
Nd 0.000 0.000 0.000
Nd 0.139 0.139 0.139
Nd 0.861 0.861 0.861
Cu 0.333 0.333 0.333
Cu 0.500 0.500 0.500
Cu 0.667 0.667 0.667
Pt 0.081 0.584 0.584
Pt 0.416 0.416 0.919
Pt 0.416 0.919 0.416
Pt 0.584 0.081 0.584
Pt 0.584 0.584 0.081
Pt 0.919 0.416 0.416

Values from the calculation:
DFT formation energy ... -0.81 eV/atom